(1)
{"formula": "Sc2AgN", "functional": "PBE", "state": "optimized geometry", "lattice": [[5.8365, 5.8712, 0.3832], [7.0573, 3.9472, -1.8156], [4.9151, 6.1303, -2.6352]], "species": ["N", "Ag", "Sc", "Sc"], "fractional_positions": [[0.5000, 0.5000, 0.5000], [0.0000, 0.0000, 0.0000], [0.8830, 0.8830, 0.8830], [0.1170, 0.1170, 0.1170]], "crystal_system": "trigonal", "e_tot_ev_per_atom": -6.76, "n_ef_per_ev_cell": 1.87, "e_form_raw_ev_per_atom": -0.80}



(2)
{"formula": "Tb4BiSbSe2", "functional": "PBE", "state": "optimized geometry", "lattice": [[4.2849, 0.0000, 0.0000], [0.0000, 7.3949, -0.1356], [0.0000, 2.6142, 6.9336]], "species": ["Tb", "Sb", "Tb", "Bi", "Se", "Se", "Tb", "Tb"], "fractional_positions": [[0.0000, 0.7687, 0.7390], [0.0000, 0.5000, 0.5000], [0.5000, 0.7645, 0.2493], [0.5000, 0.5000, 0.0000], [0.0000, 0.0000, 0.0000], [0.5000, 0.0000, 0.5000], [0.0000, 0.2313, 0.2610], [0.5000, 0.2355, 0.7507]], "crystal_system": "monoclinic", "e_tot_ev_per_atom": -5.57, "n_ef_per_ev_cell": 3.45, "e_form_raw_ev_per_atom": -1.38}



(3)
{"formula": "SrLi4Tl8", "functional": "PBE", "state": "optimized geometry", "lattice": [[-0.4399, 4.2415, -4.4960], [-2.4438, -3.0494, -6.9079], [-7.1608, 3.4035, -0.3588]], "species": ["Li", "Li", "Tl", "Tl", "Tl", "Tl", "Tl", "Li", "Tl", "Tl", "Li", "Sr", "Tl"], "fractional_positions": [[0.5000, 0.0000, 0.5000], [0.0000, 0.5000, 0.0000], [0.7203, 0.7797, 0.7797], [0.5000, 0.2203, 0.7797], [0.2797, 0.2203, 0.2203], [0.3402, 0.6598, 0.6598], [0.0000, 0.3402, 0.6598], [0.0000, 0.0000, 0.5000], [0.5000, 0.7797, 0.2203], [0.0000, 0.6598, 0.3402], [0.5000, 0.5000, 0.0000], [0.0000, 0.0000, 0.0000], [0.6598, 0.3402, 0.3402]], "crystal_system": "tetragonal", "e_tot_ev_per_atom": -2.37, "n_ef_per_ev_cell": 7.48}



Number 1: spin magnetization 0.00 μB per cell. Number 2: spin magnetization 0.00 μB per cell. Number 3: spin magnetization 0.00 μB per cell.